(1)
PrTeAuO: relaxed, PBE-GGA.

## Properties
The calculation puts the total magnetic moment at 0.0 μB per cell. As for the relative energy among the computed polymorphs: 0.0300 eV per atom. As for the total energy: -0.4233 Ry/atom.

a b c (Å): 5.902 5.915 10.101
angles (deg): 90.00 90.00 90.00
Fractional positions:
Pr: 0.000 0.000 0.000
Pr: 0.000 0.500 0.230
Pr: 0.500 0.000 0.230
Pr: 0.500 0.500 0.000
Te: 0.000 0.000 0.412
Te: 0.000 0.500 0.827
Te: 0.500 0.000 0.827
Te: 0.500 0.500 0.412
Au: 0.162 0.307 0.599
Au: 0.338 0.807 0.599
Au: 0.662 0.193 0.599
Au: 0.838 0.693 0.599
O: 0.248 0.251 0.117
O: 0.252 0.751 0.117
O: 0.748 0.249 0.117
O: 0.752 0.749 0.117

---

(2)
PrTeAuO: relaxed, PBE-GGA.

## Properties
The calculation puts the total magnetic moment at 0.0 μB per cell. As for the relative energy among the computed polymorphs: 0.0409 eV per atom. As for the total energy: -0.4225 Ry/atom.

a b c (Å): 4.183 4.183 9.941
angles (deg): 90.00 90.00 90.00
Fractional positions:
Pr: 0.250 0.250 0.117
Pr: 0.750 0.750 0.883
Te: 0.250 0.250 0.705
Te: 0.750 0.750 0.295
Au: 0.250 0.750 0.500
Au: 0.750 0.250 0.500
O: 0.250 0.750 0.000
O: 0.750 0.250 0.000

---

(3)
PrTeAuO: relaxed, PBE-GGA.

## Properties
The calculation puts the total magnetic moment at 0.0 μB per cell. As for the relative energy among the computed polymorphs: 0.0410 eV per atom. As for the total energy: -0.4225 Ry/atom.

a b c (Å): 4.179 4.179 9.961
angles (deg): 90.00 90.00 90.00
Fractional positions:
Pr: 0.250 0.250 0.117
Pr: 0.750 0.750 0.883
Te: 0.250 0.250 0.705
Te: 0.750 0.750 0.295
Au: 0.250 0.750 0.500
Au: 0.750 0.250 0.500
O: 0.250 0.750 0.000
O: 0.750 0.250 0.000

---

(4)
PrTeAuO: relaxed, PBE-GGA.

## Properties
The calculation puts the total magnetic moment at 0.0 μB per cell. As for the relative energy among the computed polymorphs: 0.0306 eV per atom. As for the total energy: -0.4233 Ry/atom.

a b c (Å): 5.912 5.912 10.080
angles (deg): 90.00 90.00 90.00
Fractional positions:
Pr: 0.000 0.000 0.000
Pr: 0.000 0.500 0.231
Pr: 0.500 0.000 0.231
Pr: 0.500 0.500 0.000
Te: 0.000 0.000 0.413
Te: 0.000 0.500 0.828
Te: 0.500 0.000 0.828
Te: 0.500 0.500 0.413
Au: 0.180 0.320 0.601
Au: 0.320 0.820 0.601
Au: 0.680 0.180 0.601
Au: 0.820 0.680 0.601
O: 0.249 0.251 0.117
O: 0.251 0.751 0.117
O: 0.749 0.249 0.117
O: 0.751 0.749 0.117

---

(5)
PrTeAuO: relaxed, PBE-GGA.

## Properties
The calculation puts the total magnetic moment at 0.0 μB per cell. As for the relative energy among the computed polymorphs: 0.0407 eV per atom. As for the total energy: -0.4226 Ry/atom.

a b c (Å): 4.177 4.177 9.982
angles (deg): 90.00 90.00 90.00
Fractional positions:
Pr: 0.250 0.250 0.117
Pr: 0.750 0.750 0.883
Te: 0.250 0.250 0.705
Te: 0.750 0.750 0.295
Au: 0.250 0.750 0.500
Au: 0.750 0.250 0.500
O: 0.250 0.750 0.000
O: 0.750 0.250 0.000

---

(6)
PrTeAuO: relaxed, PBE-GGA.

## Properties
The calculation puts the total magnetic moment at 0.0 μB per cell. As for the relative energy among the computed polymorphs: 0.1829 eV per atom. As for the total energy: -0.4121 Ry/atom.

a b c (Å): 7.747 6.526 6.525
angles (deg): 90.00 90.68 90.00
Fractional positions:
Pr: 0.114 0.018 0.257
Pr: 0.114 0.482 0.757
Pr: 0.886 0.518 0.243
Pr: 0.886 0.982 0.743
Te: 0.305 0.527 0.294
Te: 0.305 0.973 0.794
Te: 0.695 0.027 0.206
Te: 0.695 0.473 0.706
Au: 0.451 0.205 0.493
Au: 0.451 0.295 0.993
Au: 0.549 0.705 0.007
Au: 0.549 0.795 0.507
O: 0.005 0.743 0.996
O: 0.005 0.757 0.496
O: 0.995 0.243 0.504
O: 0.995 0.257 0.004

---

(7)
PrTeAuO: relaxed, PBE-GGA.

## Properties
The calculation puts the total magnetic moment at 0.0 μB per cell. As for the relative energy among the computed polymorphs: 0.0000 eV per atom. As for the total energy: -0.4256 Ry/atom.

a b c (Å): 10.366 4.186 4.186
angles (deg): 89.76 90.00 90.00
Fractional positions:
Pr: 0.112 0.250 0.750
Pr: 0.888 0.750 0.250
Te: 0.284 0.751 0.251
Te: 0.716 0.251 0.751
Au: 0.500 0.001 0.001
Au: 0.500 0.501 0.501
O: 0.000 0.250 0.250
O: 0.000 0.750 0.750

---

(8)
PrTeAuO: relaxed, PBE-GGA.

## Properties
The calculation puts the total magnetic moment at 0.0 μB per cell. As for the relative energy among the computed polymorphs: 0.0410 eV per atom. As for the total energy: -0.4225 Ry/atom.

a b c (Å): 4.180 4.180 9.955
angles (deg): 90.00 90.00 90.00
Fractional positions:
Pr: 0.250 0.250 0.117
Pr: 0.750 0.750 0.883
Te: 0.250 0.250 0.705
Te: 0.750 0.750 0.295
Au: 0.250 0.750 0.500
Au: 0.750 0.250 0.500
O: 0.250 0.750 0.000
O: 0.750 0.250 0.000

---

(9)
PrTeAuO: relaxed, PBE-GGA.

## Properties
The calculation puts the total magnetic moment at 0.0 μB per cell. As for the relative energy among the computed polymorphs: 0.0410 eV per atom. As for the total energy: -0.4225 Ry/atom.

a b c (Å): 4.179 4.179 9.959
angles (deg): 90.00 90.00 90.00
Fractional positions:
Pr: 0.250 0.250 0.117
Pr: 0.750 0.750 0.883
Te: 0.250 0.250 0.705
Te: 0.750 0.750 0.295
Au: 0.250 0.750 0.500
Au: 0.750 0.250 0.500
O: 0.250 0.750 0.000
O: 0.750 0.250 0.000

---

(10)
PrTeAuO: relaxed, PBE-GGA.

## Properties
The calculation puts the total magnetic moment at 0.0 μB per cell. As for the relative energy among the computed polymorphs: 0.0406 eV per atom. As for the total energy: -0.4226 Ry/atom.

a b c (Å): 9.977 5.910 5.911
angles (deg): 90.00 90.00 90.00
Fractional positions:
Pr: 0.117 0.000 0.250
Pr: 0.117 0.500 0.750
Pr: 0.883 0.000 0.750
Pr: 0.883 0.500 0.250
Te: 0.295 0.001 0.750
Te: 0.295 0.499 0.250
Te: 0.705 0.501 0.750
Te: 0.705 0.999 0.250
Au: 0.499 0.750 0.000
Au: 0.499 0.750 0.500
Au: 0.501 0.250 0.000
Au: 0.501 0.250 0.500
O: 0.000 0.250 0.000
O: 0.000 0.250 0.500
O: 0.000 0.750 0.000
O: 0.000 0.750 0.500

---

(11)
PrTeAuO: relaxed, PBE-GGA.

## Properties
The calculation puts the total magnetic moment at 0.0 μB per cell. As for the relative energy among the computed polymorphs: 0.0409 eV per atom. As for the total energy: -0.4225 Ry/atom.

a b c (Å): 4.179 4.179 9.961
angles (deg): 90.00 90.00 90.00
Fractional positions:
Pr: 0.000 0.000 0.000
Pr: 0.500 0.500 0.234
Te: 0.000 0.000 0.412
Te: 0.500 0.500 0.822
Au: 0.000 0.500 0.617
Au: 0.500 0.000 0.617
O: 0.000 0.500 0.117
O: 0.500 0.000 0.117

---

(12)
PrTeAuO: relaxed, PBE-GGA.

## Properties
The calculation puts the total magnetic moment at 0.0 μB per cell. As for the relative energy among the computed polymorphs: 0.0002 eV per atom. As for the total energy: -0.4255 Ry/atom.

a b c (Å): 20.727 4.184 4.184
angles (deg): 89.75 90.00 90.00
Fractional positions:
Pr: 0.056 0.250 0.750
Pr: 0.444 0.750 0.250
Pr: 0.556 0.250 0.750
Pr: 0.944 0.750 0.250
Te: 0.142 0.749 0.252
Te: 0.358 0.249 0.752
Te: 0.642 0.752 0.249
Te: 0.858 0.252 0.749
Au: 0.250 0.001 0.006
Au: 0.250 0.501 0.506
Au: 0.750 0.006 0.001
Au: 0.750 0.506 0.501
O: 0.000 0.250 0.250
O: 0.000 0.750 0.750
O: 0.500 0.250 0.250
O: 0.500 0.750 0.750

---

(13)
PrTeAuO: relaxed, PBE-GGA.

## Properties
The calculation puts the total magnetic moment at 0.0 μB per cell. As for the relative energy among the computed polymorphs: 0.4387 eV per atom. As for the total energy: -0.3933 Ry/atom.

a b c (Å): 4.570 5.847 7.127
angles (deg): 90.00 90.00 90.00
Fractional positions:
Pr: 0.000 0.226 0.000
Pr: 0.000 0.774 0.500
Te: 0.500 0.392 0.689
Te: 0.500 0.608 0.189
Au: 0.500 0.157 0.364
Au: 0.500 0.843 0.864
O: 0.000 0.041 0.273
O: 0.000 0.959 0.773

---

(14)
Pt2Au2O5: relaxed, PBE-GGA.

## Properties
The calculation puts the total magnetic moment at 0.0 μB per cell. As for the relative energy among the computed polymorphs: 0.0000 eV per atom. As for the total energy: -0.3327 Ry/atom.

a b c (Å): 3.847 3.847 8.332
angles (deg): 90.00 90.00 90.00
Fractional positions:
Pt: 0.000 0.000 0.244
Pt: 0.000 0.000 0.756
Au: 0.500 0.500 0.000
Au: 0.500 0.500 0.500
O: 0.000 0.000 0.500
O: 0.000 0.500 0.182
O: 0.000 0.500 0.818
O: 0.500 0.000 0.182
O: 0.500 0.000 0.818

---

(15)
Pt2Au2O5: relaxed, PBE-GGA.

## Properties
The calculation puts the total magnetic moment at 1.3 μB per cell. As for the relative energy among the computed polymorphs: 0.1843 eV per atom. As for the total energy: -0.3192 Ry/atom.

a b c (Å): 3.471 3.471 9.497
angles (deg): 90.00 90.00 90.00
Fractional positions:
Pt: 0.000 0.000 0.000
Pt: 0.000 0.000 0.500
Au: 0.500 0.500 0.219
Au: 0.500 0.500 0.781
O: 0.000 0.500 0.378
O: 0.000 0.500 0.622
O: 0.500 0.000 0.378
O: 0.500 0.000 0.622
O: 0.500 0.500 0.000

---

(16)
Pt2AuO4: relaxed, PBE-GGA.

## Properties
The calculation puts the total magnetic moment at 0.0 μB per cell. As for the total energy: -0.3785 Ry/atom.

a b c (Å): 6.428 6.428 6.428
angles (deg): 60.00 60.00 60.00
Fractional positions:
Pt: 0.000 0.000 0.000
Pt: 0.000 0.000 0.500
Pt: 0.000 0.500 0.000
Pt: 0.500 0.000 0.000
Au: 0.375 0.375 0.375
Au: 0.625 0.625 0.625
O: 0.185 0.772 0.772
O: 0.228 0.228 0.228
O: 0.228 0.228 0.815
O: 0.228 0.815 0.228
O: 0.772 0.185 0.772
O: 0.772 0.772 0.185
O: 0.772 0.772 0.772
O: 0.815 0.228 0.228

---

(17)
Pt3AuO6: relaxed, PBE-GGA.

## Properties
The calculation puts the total magnetic moment at 0.3 μB per cell. As for the total energy: -0.4001 Ry/atom.

a b c (Å): 6.322 6.322 3.161
angles (deg): 90.00 90.00 109.40
Fractional positions:
Pt: 0.000 0.000 0.000
Pt: 0.000 0.500 0.500
Pt: 0.500 0.000 0.500
Au: 0.500 0.500 0.000
O: 0.070 0.331 0.000
O: 0.331 0.070 0.000
O: 0.342 0.658 0.500
O: 0.658 0.342 0.500
O: 0.669 0.930 0.000
O: 0.930 0.669 0.000

---

(18)
RbPtAu3O4: relaxed, PBE-GGA.

## Properties
The calculation puts the total magnetic moment at 4.4 μB per cell. As for the total energy: -0.2742 Ry/atom.

a b c (Å): 5.615 5.615 5.615
angles (deg): 90.00 90.00 90.00
Fractional positions:
Rb: 0.000 0.000 0.000
Pt: 0.500 0.500 0.500
Au: 0.000 0.500 0.500
Au: 0.500 0.000 0.500
Au: 0.500 0.500 0.000
O: 0.276 0.276 0.276
O: 0.276 0.724 0.724
O: 0.724 0.276 0.724
O: 0.724 0.724 0.276

---

(19)
TlPtAu3O4: relaxed, PBE-GGA.

## Properties
The calculation puts the total magnetic moment at 0.3 μB per cell. As for the total energy: -0.2774 Ry/atom.

a b c (Å): 5.362 5.362 5.362
angles (deg): 90.00 90.00 90.00
Fractional positions:
Tl: 0.000 0.000 0.000
Pt: 0.500 0.500 0.500
Au: 0.000 0.500 0.500
Au: 0.500 0.000 0.500
Au: 0.500 0.500 0.000
O: 0.232 0.232 0.232
O: 0.232 0.768 0.768
O: 0.768 0.232 0.768
O: 0.768 0.768 0.232

---

(20)
Rb2AuO2: relaxed, PBE-GGA.

## Properties
As for the total energy: -0.2749 Ry/atom.

a b c (Å): 5.397 5.397 5.876
angles (deg): 105.65 105.65 38.18
Fractional positions:
Rb: 0.168 0.168 0.194
Rb: 0.832 0.832 0.806
Au: 0.500 0.500 0.500
O: 0.107 0.107 0.690
O: 0.893 0.893 0.310